Material: Sm3DyHo2Tm6
Method: DFT, PBE
State: relaxed

Symmetry: No. 12
Electronic total energy, eV/cell: -54.5
M_tot, μB/cell: 0.00
Formation energy, kJ/mol of formula units: 26

```
data_Sm3DyHo2Tm6
_chemical_formula_sum 'Sm3 Dy1 Ho2 Tm6'
_cell_length_a 6.123
_cell_length_b 6.123
_cell_length_c 11.658
_cell_angle_alpha 95.01
_cell_angle_beta 95.01
_cell_angle_gamma 119.96
_symmetry_space_group_name_H-M 'P 1'
_symmetry_Int_Tables_number 1
loop_
_symmetry_equiv_pos_as_xyz
'x,y,z'
loop_
_atom_site_label
_atom_site_type_symbol
_atom_site_fract_x
_atom_site_fract_y
_atom_site_fract_z
_atom_site_occupancy
Sm1 Sm 0.167 0.833 0.500 1
Sm2 Sm 0.833 0.167 0.500 1
Sm3 Sm 0.500 0.500 0.500 1
Dy1 Dy 0.000 0.000 0.000 1
Ho1 Ho 0.333 0.667 0.000 1
Ho2 Ho 0.667 0.333 0.000 1
Tm1 Tm 0.917 0.584 0.752 1
Tm2 Tm 0.749 0.749 0.248 1
Tm3 Tm 0.083 0.416 0.248 1
Tm4 Tm 0.584 0.917 0.752 1
Tm5 Tm 0.251 0.251 0.752 1
Tm6 Tm 0.416 0.083 0.248 1
```